Record 1
VASP calculation (PBE) on a relaxed Fe3Pd6Pt crystal.

* space group: P2_1/m (11)
* energy relative to the lowest polymorph listed for this composition: 0.0000 eV per atom
* E_tot: -63.4 eV per formula unit
* spin magnetization: 11.55 μB/f.u.
* energy of formation: -0.077 eV/atom

Cell: 7.249 4.467 9.561 Å, 90.00 109.20 90.00°
Positions (direct):
Fe  0.099  0.250  0.235
Fe  0.294  0.250  0.032
Fe  0.301  0.750  0.370
Fe  0.699  0.250  0.630
Fe  0.706  0.750  0.968
Fe  0.901  0.750  0.765
Pd  0.094  0.250  0.735
Pd  0.101  0.750  0.070
Pd  0.297  0.750  0.868
Pd  0.307  0.250  0.531
Pd  0.484  0.250  0.324
Pd  0.497  0.750  0.161
Pd  0.503  0.250  0.839
Pd  0.516  0.750  0.676
Pd  0.693  0.750  0.469
Pd  0.703  0.250  0.132
Pd  0.899  0.250  0.930
Pd  0.906  0.750  0.265
Pt  0.103  0.750  0.566
Pt  0.897  0.250  0.434

---

Record 2
VASP calculation (PBE) on a relaxed Be2Si2Pb crystal.

* space group: I4/mmm (139)
* E_tot: -20.3 eV per formula unit
* spin magnetization: 0.00 μB/f.u.

Cell: 5.684 5.684 5.684 Å, 137.97 137.97 60.95°
Positions (direct):
Be  0.250  0.750  0.500
Be  0.750  0.250  0.500
Si  0.125  0.125  0.000
Si  0.875  0.875  0.000
Pb  0.500  0.500  0.000

---

Record 3
VASP calculation (PBE) on a relaxed LiCa2Bi2 crystal.

* space group: P4/mbm (127)
* energy relative to the lowest polymorph listed for this composition: 0.0514 eV per atom
* E_tot: -16.8 eV per formula unit
* spin magnetization: 0.00 μB/f.u.
* energy of formation: -0.624 eV/atom

Cell: 9.103 9.103 3.842 Å, 90.00 90.00 90.00°
Positions (direct):
Li  0.000  0.000  0.000
Li  0.500  0.500  0.000
Ca  0.136  0.364  0.500
Ca  0.364  0.864  0.500
Ca  0.636  0.136  0.500
Ca  0.864  0.636  0.500
Bi  0.166  0.666  0.000
Bi  0.334  0.166  0.000
Bi  0.666  0.834  0.000
Bi  0.834  0.334  0.000